1.
## RbLaCd (GGA-PBE)

Data for a geometry-optimized RbLaCd structure.

**SG**: Amm2
**Energy of formation**: 0.17 eV per atom

Cell: 18.8514 3.9649 6.6897 Å, 90.00 90.00 90.00°
Last column: nearest neighbours and their distance in Å.
Sites, in units of the cell vectors:
Rb  0.1628  0.0000  0.0000  3 Cd 3.80-3.83, 6 Rb 3.89-3.96
Rb  0.1628  0.5000  0.5000  3 Cd 3.80-3.83, 6 Rb 3.89-3.96
Rb  0.8372  0.0000  0.0000  3 Cd 3.80-3.83, 6 Rb 3.89-3.96
Rb  0.8372  0.5000  0.5000  3 Cd 3.80-3.83, 6 Rb 3.89-3.96
La  0.3687  0.0000  0.5571  3 Cd 3.35-3.36
La  0.3687  0.5000  0.0571  3 Cd 3.35-3.36
La  0.6313  0.0000  0.5571  3 Cd 3.35-3.36
La  0.6313  0.5000  0.0571  3 Cd 3.35-3.36
Cd  0.0000  0.0000  0.6586  6 Rb 3.80-3.83, 6 Cd 3.89-3.96
Cd  0.0000  0.5000  0.1586  6 Rb 3.80-3.83, 6 Cd 3.89-3.96
Cd  0.5000  0.0000  0.8959  6 La 3.35-3.36
Cd  0.5000  0.5000  0.3959  6 La 3.35-3.36



2.
## RbLa3Cd (GGA-PBE)

Data for a geometry-optimized RbLa3Cd structure.

**Relative energy among the computed polymorphs**: 3.06 eV/f.u.
**SG**: Pm-3m
**Energy of formation**: 1.01 eV per atom

Cell: 5.7312 5.7312 5.7312 Å, 90.00 90.00 90.00°
Last column: nearest neighbours and their distance in Å.
Sites, in units of the cell vectors:
Rb  0.0000  0.0000  0.0000  6 La 2.87
La  0.0000  0.0000  0.5000  2 Rb 2.87
La  0.0000  0.5000  0.0000  2 Rb 2.87
La  0.5000  0.0000  0.0000  2 Rb 2.87
Cd  0.5000  0.5000  0.5000  12 La 4.05



3.
## RbLa3Cd (GGA-PBE)

Data for a geometry-optimized RbLa3Cd structure.

**Relative energy among the computed polymorphs**: 0.00 eV/f.u.
**SG**: Pm-3m
**Energy of formation**: 0.40 eV per atom

Cell: 6.1949 6.1949 6.1949 Å, 90.00 90.00 90.00°
Last column: nearest neighbours and their distance in Å.
Sites, in units of the cell vectors:
Rb  0.0000  0.0000  0.0000  12 La 4.38
La  0.0000  0.5000  0.5000  2 Cd 3.10
La  0.5000  0.0000  0.5000  2 Cd 3.10
La  0.5000  0.5000  0.0000  2 Cd 3.10
Cd  0.5000  0.5000  0.5000  6 La 3.10